Er5Ga2Pb: relaxed, PBE-GGA.

The calculation puts the formation energy at -0.518 eV per atom.

The structure belongs to space group I4/mcm (No. 140); the cell edges are 7.849, 7.849 and 13.601 Å and the angles 90.00°, 90.00° and 90.00°. Symmetry generates all atoms from Er at (0.000, 0.000, 0.000), Er at (0.159, 0.341, 0.143), Ga at (0.135, 0.365, 0.500) and Pb at (0.000, 0.000, 0.250).



Ba4Sn2Pb5: relaxed, PBE-GGA.

The calculation puts the formation energy at -0.411 eV per atom.

The structure belongs to space group P2/m (No. 10); the cell edges are 8.981, 3.879 and 11.497 Å and the angles 90.00°, 94.52° and 90.00°. Symmetry generates all atoms from Ba at (0.167, 0.000, 0.384), Ba at (0.285, 0.000, 0.937), Sn at (0.057, 0.500, 0.127), Pb at (0.207, 0.500, 0.667), Pb at (0.427, 0.500, 0.209) and Pb at (0.500, 0.500, 0.500).



KHg3H6: relaxed, PBE-GGA.

The calculation puts the total DFT energy (no corrections) at -1.970 eV per atom.

The structure belongs to space group R-3c (No. 167, hexagonal axes); the cell edges are 12.6202, 12.6202 and 7.6472 Å and the angles 90.00°, 90.00° and 120.00°. Symmetry generates all atoms from K at (0.0000, 0.0000, 0.0000), Hg at (0.0000, 0.4301, 0.2500) and H at (0.0470, 0.2316, 0.4183).



MgMnRu: relaxed, PBE-GGA.

The calculation puts the formation energy at 0.520 eV per atom.

The structure belongs to space group F-43m (No. 216); the cell edges are 5.737, 5.737 and 5.737 Å and the angles 90.00°, 90.00° and 90.00°. Symmetry generates all atoms from Mg at (0.000, 0.000, 0.000), Mn at (0.250, 0.250, 0.750) and Ru at (0.000, 0.000, 0.500).